This record from Alexandria describes crystalline Dy8IrAu2 at its relaxed geometry. The functional is GGA-PBE.

a = 5.6688 Å, b = 9.5181 Å, c = 9.5181 Å
α = 136.85°, β = 100.38°, γ = 100.38°
Element x y z (fractional)
Ir  0.4535  0.0037  0.0037
Au  0.4547  0.7510  0.2554
Au  0.4547  0.2554  0.7510
Dy  0.5833  0.4176  0.1870
Dy  0.5833  0.1870  0.4176
Dy  0.0330  0.2510  0.2510
Dy  0.9545  0.2036  0.8020
Dy  0.9545  0.8020  0.2036
Dy  0.8755  0.7540  0.7540
Dy  0.3263  0.8194  0.5893
Dy  0.3263  0.5893  0.8194

Output
**Offset from the most stable computed form**: 65 kJ/mol of formula units
**Density of states at the Fermi level**: 0.86 states/eV per atom
**Formation enthalpy at 0 K**: -0.45 eV/atom


This record from Alexandria describes crystalline LiTl at its relaxed geometry. The functional is GGA-PBE.

a = 3.5516 Å, b = 3.5516 Å, c = 3.3567 Å
α = 90.00°, β = 90.00°, γ = 90.00°
Element x y z (fractional)
Li  0.0000  0.0000  0.5000
Tl  0.5000  0.5000  0.0000

Output
**Density of states at the Fermi level**: 0.29 states/eV per atom
**Formation enthalpy at 0 K**: -0.22 eV/atom


This record from Alexandria describes crystalline KRuAu2 at its relaxed geometry. The functional is GGA-PBE.

a = 3.9985 Å, b = 2.7737 Å, c = 8.1479 Å
α = 70.15°, β = 90.00°, γ = 90.00°
Element x y z (fractional)
Au  0.0000  0.0629  0.9373
Au  0.0000  0.4371  0.5627
K  0.5000  0.2500  0.2500
Ru  0.5000  0.7500  0.7500

Output
**Offset from the most stable computed form**: 0 kJ/mol of formula units
**Density of states at the Fermi level**: 0.78 states/eV per atom
**Formation enthalpy at 0 K**: 0.32 eV/atom


no.,M_tot (μB per atom),DFT total energy (eV/atom)
1,0.0000,-5.199
2,0.0000,-2.359
3,0.0006,-3.914